No. 1
The following is a PBE calculation of a relaxed structure of ZnCdTeO, from the Open Quantum Materials Database.

a = 6.3882 Å, b = 3.6073 Å, c = 14.4762 Å
α = 90.00°, β = 90.00°, γ = 90.00°
Closest atoms and distances in Å follow each position.
Space group Pnma (No. 62)
One atom of each set of equivalent atoms:
Zn 0.1357 0.2500 0.1204  2 O 2.05
Cd 0.0695 0.7500 0.3170  2 O 2.23-2.24
Te 0.2462 0.7500 0.9456  1 Zn 2.62, 2 Cd 2.85
O 0.2183 0.7500 0.1775  2 Zn 2.05, 2 Cd 2.23-2.24

Summary:
crystal system = orthorhombic



No. 2
The following is a PBE calculation of a relaxed structure of HoBeAsO, from the Open Quantum Materials Database.

a = 3.8572 Å, b = 3.8572 Å, c = 9.6051 Å
α = 90.00°, β = 90.00°, γ = 90.00°
Closest atoms and distances in Å follow each position.
Space group P4/nmm (No. 129, origin choice 2)
One atom of each set of equivalent atoms:
Ho 0.2500 0.7500 0.0000  4 Ho 2.73, 4 As 2.80
Be 0.2500 0.2500 0.4926  4 O 1.93
As 0.2500 0.2500 0.2110  1 Be 2.70, 4 Ho 2.80
O 0.2500 0.7500 0.5000  4 Be 1.93

Summary:
crystal system = tetragonal
magnetization = 0.002 μB/cell



No. 3
The following is a PBE calculation of a relaxed structure of Ba2CdGe, from the Open Quantum Materials Database.

a = 8.1390 Å, b = 8.1390 Å, c = 8.1390 Å
α = 90.00°, β = 90.00°, γ = 90.00°
Closest atoms and distances in Å follow each position.
Space group F-43m (No. 216)
One atom of each set of equivalent atoms:
Ba 0.0000 0.0000 0.0000  4 Cd 3.52, 4 Ba 3.52
Ba 0.2500 0.2500 0.2500  4 Ge 3.52, 4 Ba 3.52
Cd 0.2500 0.2500 0.7500  4 Ba 3.52, 4 Ge 3.52
Ge 0.0000 0.0000 0.5000  4 Ba 3.52, 4 Cd 3.52

Summary:
crystal system = cubic



No. 4
The following is a PBE calculation of a relaxed structure of PuAl, from the Open Quantum Materials Database.

a = 2.9223 Å, b = 2.9223 Å, c = 5.3998 Å
α = 90.00°, β = 90.00°, γ = 120.00°
Closest atoms and distances in Å follow each position.
Space group P-6m2 (No. 187)
One atom of each set of equivalent atoms:
Pu 0.0000 0.0000 0.0000  6 Pu 2.92, 6 Al 3.18
Al 0.3333 0.6667 0.5000  6 Al 2.92, 6 Pu 3.18

Summary:
crystal system = hexagonal
magnetization = 4.498 μB/cell



No. 5
The following is a PBE calculation of a relaxed structure of Zr2CuTe4, from the Open Quantum Materials Database.

a = 11.7342 Å, b = 11.7342 Å, c = 11.7342 Å
α = 90.00°, β = 90.00°, γ = 90.00°
Closest atoms and distances in Å follow each position.
Space group Fd-3m (No. 227, origin choice 2)
One atom of each set of equivalent atoms:
Zr 0.0000 0.0000 0.0000  6 Te 2.93
Cu 0.1250 0.1250 0.6250  4 Te 2.54
Te 0.0002 0.0002 0.2498  1 Cu 2.54

Summary:
crystal system = cubic
magnetization = 0.361 μB/cell



No. 6
The following is a PBE calculation of a relaxed structure of Tm3FeSi3, from the Open Quantum Materials Database.

a = 10.3268 Å, b = 4.1089 Å, c = 13.3180 Å
α = 90.00°, β = 111.02°, γ = 90.00°
Closest atoms and distances in Å follow each position.
Space group C2/m (No. 12)
One atom of each set of equivalent atoms:
Tm 0.0234 0.0000 0.3796  6 Si 2.84-3.08, 4 Fe 2.91-3.06
Tm 0.1015 0.0000 0.9193  7 Si 2.89-3.05
Tm 0.2480 0.0000 0.2298  6 Si 2.82-3.10
Fe 0.2470 0.5000 0.4152  4 Si 2.32-2.45
Si 0.0535 0.5000 0.2419  1 Fe 2.45, 1 Si 2.51
Si 0.1142 0.5000 0.0754  2 Si 2.49-2.51
Si 0.1431 0.5000 0.5434  3 Fe 2.32

Summary:
crystal system = monoclinic
magnetization = 0.024 μB/cell



no.,E (eV/atom)
1,-3.162
2,-4.966
3,-2.411
4,-9.021
5,-5.463
6,-6.184